--- a ---
A plane-wave DFT calculation with PBE was carried out for an optimized crystal structure of Er4ScZn.

The structure in CIF format:
```
data_Er4ScZn
_symmetry_space_group_name_H-M 'P 1'
_symmetry_Int_Tables_number 1
_cell_length_a 8.071
_cell_length_b 8.071
_cell_length_c 5.912
_cell_angle_alpha 99.30
_cell_angle_beta 99.30
_cell_angle_gamma 115.92
loop_
_symmetry_equiv_pos_as_xyz
'x,y,z'
loop_
_atom_site_label
_atom_site_fract_x
_atom_site_fract_y
_atom_site_fract_z
Er1 0.083 0.710 0.942
Er2 0.195 0.381 0.650
Er3 0.290 0.917 0.558
Er4 0.381 0.195 0.150
Er5 0.619 0.805 0.850
Er6 0.710 0.083 0.442
Er7 0.805 0.619 0.350
Er8 0.917 0.290 0.058
Sc1 0.389 0.611 0.250
Sc2 0.611 0.389 0.750
Zn1 0.003 0.997 0.750
Zn2 0.997 0.003 0.250
```

Values from the calculation:
total moment: 0.00 μB/f.u.
crystal system: monoclinic

=====

--- b ---
A plane-wave DFT calculation with PBE was carried out for an optimized crystal structure of Er4ScZn.

The structure in CIF format:
```
data_Er4ScZn
_symmetry_space_group_name_H-M 'P 1'
_symmetry_Int_Tables_number 1
_cell_length_a 3.486
_cell_length_b 3.486
_cell_length_c 13.247
_cell_angle_alpha 90.00
_cell_angle_beta 90.00
_cell_angle_gamma 90.00
loop_
_symmetry_equiv_pos_as_xyz
'x,y,z'
loop_
_atom_site_label
_atom_site_fract_x
_atom_site_fract_y
_atom_site_fract_z
Er1 0.000 0.000 0.135
Er2 0.000 0.000 0.865
Er3 0.500 0.500 0.327
Er4 0.500 0.500 0.673
Sc1 0.000 0.000 0.500
Zn1 0.500 0.500 0.000
```

Values from the calculation:
total moment: 0.00 μB/f.u.
crystal system: tetragonal

=====

It turns out b is the most stable, with the second structure 101 meV per atom higher.

=====

--- a ---
A plane-wave DFT calculation with PBE was carried out for an optimized crystal structure of ErZrSc.

The structure in CIF format:
```
data_ErZrSc
_symmetry_space_group_name_H-M 'P 1'
_symmetry_Int_Tables_number 1
_cell_length_a 7.445
_cell_length_b 7.445
_cell_length_c 7.445
_cell_angle_alpha 154.33
_cell_angle_beta 154.33
_cell_angle_gamma 36.62
loop_
_symmetry_equiv_pos_as_xyz
'x,y,z'
loop_
_atom_site_label
_atom_site_fract_x
_atom_site_fract_y
_atom_site_fract_z
Er1 0.000 0.000 0.000
Zr1 0.335 0.335 0.000
Sc1 0.683 0.683 0.000
```

Values from the calculation:
total moment: 0.00 μB/f.u.
crystal system: tetragonal

=====

--- b ---
A plane-wave DFT calculation with PBE was carried out for an optimized crystal structure of ErZrSc.

The structure in CIF format:
```
data_ErZrSc
_symmetry_space_group_name_H-M 'P 1'
_symmetry_Int_Tables_number 1
_cell_length_a 5.198
_cell_length_b 5.198
_cell_length_c 3.282
_cell_angle_alpha 90.00
_cell_angle_beta 90.00
_cell_angle_gamma 120.00
loop_
_symmetry_equiv_pos_as_xyz
'x,y,z'
loop_
_atom_site_label
_atom_site_fract_x
_atom_site_fract_y
_atom_site_fract_z
Er1 0.000 0.000 0.000
Zr1 0.667 0.333 0.500
Sc1 0.333 0.667 0.500
```

Values from the calculation:
total moment: 0.78 μB/f.u.
crystal system: hexagonal

=====

It turns out a is the most stable, with the second structure 27 meV per atom higher.

=====

--- a ---
A plane-wave DFT calculation with PBE was carried out for an optimized crystal structure of ErZrSc.

The structure in CIF format:
```
data_ErZrSc
_symmetry_space_group_name_H-M 'P 1'
_symmetry_Int_Tables_number 1
_cell_length_a 3.163
_cell_length_b 5.273
_cell_length_c 9.495
_cell_angle_alpha 90.00
_cell_angle_beta 90.00
_cell_angle_gamma 90.00
loop_
_symmetry_equiv_pos_as_xyz
'x,y,z'
loop_
_atom_site_label
_atom_site_fract_x
_atom_site_fract_y
_atom_site_fract_z
Er1 0.250 0.250 0.068
Er2 0.750 0.750 0.932
Zr1 0.250 0.250 0.445
Zr2 0.750 0.750 0.555
Sc1 0.250 0.750 0.266
Sc2 0.750 0.250 0.734
```

Values from the calculation:
total moment: 0.00 μB/f.u.
crystal system: orthorhombic

=====

--- b ---
A plane-wave DFT calculation with PBE was carried out for an optimized crystal structure of ErZrSc.

The structure in CIF format:
```
data_ErZrSc
_symmetry_space_group_name_H-M 'P 1'
_symmetry_Int_Tables_number 1
_cell_length_a 8.226
_cell_length_b 8.226
_cell_length_c 8.226
_cell_angle_alpha 23.45
_cell_angle_beta 23.45
_cell_angle_gamma 23.45
loop_
_symmetry_equiv_pos_as_xyz
'x,y,z'
loop_
_atom_site_label
_atom_site_fract_x
_atom_site_fract_y
_atom_site_fract_z
Er1 0.000 0.000 0.000
Zr1 0.221 0.221 0.221
Sc1 0.785 0.785 0.785
```

Values from the calculation:
total moment: 0.00 μB/f.u.
crystal system: trigonal

=====

It turns out b is the most stable, with the second structure 163 meV per atom higher.

=====

--- a ---
A plane-wave DFT calculation with PBE was carried out for an optimized crystal structure of Er2Zr2Sc7.

The structure in CIF format:
```
data_Er2Zr2Sc7
_symmetry_space_group_name_H-M 'P 1'
_symmetry_Int_Tables_number 1
_cell_length_a 8.589
_cell_length_b 8.589
_cell_length_c 8.589
_cell_angle_alpha 145.42
_cell_angle_beta 63.71
_cell_angle_gamma 128.28
loop_
_symmetry_equiv_pos_as_xyz
'x,y,z'
loop_
_atom_site_label
_atom_site_fract_x
_atom_site_fract_y
_atom_site_fract_z
Er1 0.203 0.000 0.203
Er2 0.797 0.000 0.797
Zr1 0.202 0.202 0.000
Zr2 0.490 0.990 0.500
Sc1 0.071 0.702 0.369
Sc2 0.334 0.702 0.631
Sc3 0.335 0.489 0.846
Sc4 0.643 0.489 0.154
Sc5 0.658 0.288 0.369
Sc6 0.784 0.784 0.000
Sc7 0.919 0.288 0.631
```

Values from the calculation:
total moment: 0.00 μB/f.u.
crystal system: orthorhombic

=====

--- b ---
A plane-wave DFT calculation with PBE was carried out for an optimized crystal structure of Er2Zr2Sc7.

The structure in CIF format:
```
data_Er2Zr2Sc7
_symmetry_space_group_name_H-M 'P 1'
_symmetry_Int_Tables_number 1
_cell_length_a 6.360
_cell_length_b 6.360
_cell_length_c 7.465
_cell_angle_alpha 100.04
_cell_angle_beta 100.04
_cell_angle_gamma 102.81
loop_
_symmetry_equiv_pos_as_xyz
'x,y,z'
loop_
_atom_site_label
_atom_site_fract_x
_atom_site_fract_y
_atom_site_fract_z
Er1 0.216 0.784 0.000
Er2 0.784 0.216 0.000
Zr1 0.079 0.079 0.322
Zr2 0.921 0.921 0.678
Sc1 0.005 0.609 0.340
Sc2 0.304 0.304 0.034
Sc3 0.391 0.995 0.660
Sc4 0.500 0.500 0.500
Sc5 0.609 0.005 0.340
Sc6 0.696 0.696 0.966
Sc7 0.995 0.391 0.660
```

Values from the calculation:
total moment: 0.00 μB/f.u.
crystal system: monoclinic

=====

It turns out a is the most stable, with the second structure 37 meV per atom higher.

=====

--- a ---
A plane-wave DFT calculation with PBE was carried out for an optimized crystal structure of Er6ZrSc2.

The structure in CIF format:
```
data_Er6ZrSc2
_symmetry_space_group_name_H-M 'P 1'
_symmetry_Int_Tables_number 1
_cell_length_a 7.396
_cell_length_b 7.396
_cell_length_c 7.396
_cell_angle_alpha 57.56
_cell_angle_beta 57.56
_cell_angle_gamma 57.56
loop_
_symmetry_equiv_pos_as_xyz
'x,y,z'
loop_
_atom_site_label
_atom_site_fract_x
_atom_site_fract_y
_atom_site_fract_z
Er1 0.004 0.498 0.498
Er2 0.282 0.282 0.847
Er3 0.282 0.847 0.282
Er4 0.498 0.004 0.498
Er5 0.498 0.498 0.004
Er6 0.847 0.282 0.282
Zr1 0.547 0.547 0.547
Sc1 0.817 0.817 0.817
Sc2 0.990 0.990 0.990
```

Values from the calculation:
total moment: 0.00 μB/f.u.
crystal system: trigonal

=====

--- b ---
A plane-wave DFT calculation with PBE was carried out for an optimized crystal structure of Er6ZrSc2.

The structure in CIF format:
```
data_Er6ZrSc2
_symmetry_space_group_name_H-M 'P 1'
_symmetry_Int_Tables_number 1
_cell_length_a 8.948
_cell_length_b 8.948
_cell_length_c 5.270
_cell_angle_alpha 106.39
_cell_angle_beta 106.39
_cell_angle_gamma 48.92
loop_
_symmetry_equiv_pos_as_xyz
'x,y,z'
loop_
_atom_site_label
_atom_site_fract_x
_atom_site_fract_y
_atom_site_fract_z
Er1 0.080 0.588 0.325
Er2 0.233 0.767 0.000
Er3 0.412 0.920 0.675
Er4 0.588 0.080 0.325
Er5 0.767 0.233 0.000
Er6 0.920 0.412 0.675
Zr1 0.000 0.000 0.500
Sc1 0.337 0.337 0.824
Sc2 0.663 0.663 0.176
```

Values from the calculation:
total moment: 0.84 μB/f.u.
crystal system: monoclinic

=====

It turns out a is the most stable, with the second structure 306 meV per atom higher.